Here is an optimized crystal structure of PaCrTeO6 from Alexandria via LeMat-Bulk. Energies are from GGA+U.

Cell: 5.6050 5.6050 8.7927 Å, 90.00 90.00 120.00°
With the nearest neighbours (Å) after each atom.
Space group P-31c (No. 163)
Inequivalent atoms, fractional coordinates:
1 Pa 0.3333 0.6667 0.2500 (multiplicity 2)  6 O 2.19
2 Cr 0.0000 0.0000 0.0000 (multiplicity 2)  6 O 2.10
3 Te 0.3333 0.6667 0.7500 (multiplicity 2)  6 O 2.22
4 O 0.0035 0.3222 0.1243 (multiplicity 12)  1 Cr 2.10, 1 Pa 2.19, 1 Te 2.22

E_tot	-7.568	eV/atom